VASP calculation (PBE) on a geometry-optimized NaZr2VSb structure.

Calculated values
Raw formation energy ... 1.219 eV per atom
Total moment ... 0.2 μB per cell

Cell lengths 5.3631, 5.0942, 5.3631 Å; angles 90.00, 90.00, 90.00 degrees
Each line ends with the local moment (μB).
Fractional coordinates of all 5 atoms:
Na1 0.0000 0.5000 0.0000  0.00
Sb1 0.0000 0.0000 0.0000  0.01
V1 0.5000 0.5000 0.5000  0.00
Zr1 0.5000 0.0000 0.0000  -0.01
Zr2 0.0000 0.0000 0.5000  -0.08



VASP calculation (PBE) on a geometry-optimized La3Nd2In structure.

Calculated values
Total moment ... 0.0 μB per cell
Energy above the lowest structure with this stoichiometry ... 0.0 meV/atom

Cell lengths 5.0627, 5.0520, 8.2782 Å; angles 107.77, 90.00, 90.00 degrees
Fractional coordinates of all 6 atoms:
Nd1 0.0000 0.3360 0.6720
Nd2 0.0000 0.6640 0.3280
La1 0.5000 0.1610 0.3220
La2 0.5000 0.5000 0.0000
La3 0.5000 0.8390 0.6780
In1 0.0000 0.0000 0.0000



VASP calculation (PBE) on a geometry-optimized Pm2ThIn structure.

Calculated values
Total moment ... 0.0 μB per cell
Energy above the lowest structure with this stoichiometry ... 132.2 meV/atom

Cell lengths 3.6184, 3.6184, 11.3605 Å; angles 80.84, 80.84, 60.00 degrees
Fractional coordinates of all 4 atoms:
Pm1 0.2547 0.2547 0.2359
Pm2 0.0789 0.0789 0.7633
In1 0.6664 0.6664 0.0007
Th1 0.4999 0.4999 0.5002



VASP calculation (PBE) on a geometry-optimized Tb5Y2Th5 structure.

Calculated values
Total moment ... 0.0 μB per cell
Raw total energy ... -6.0493 eV/atom

Cell lengths 5.0500, 7.9581, 10.7582 Å; angles 72.72, 76.43, 71.50 degrees
Fractional coordinates of all 12 atoms:
Th1 0.7511 0.2440 0.2538
Th2 0.8304 0.8360 0.5032
Th3 0.2489 0.7560 0.7462
Th4 0.0000 0.0000 0.0000
Th5 0.1696 0.1640 0.4968
Tb1 0.3321 0.3311 0.0048
Tb2 0.4151 0.9218 0.2480
Tb3 0.5849 0.0782 0.7520
Tb4 0.5000 0.5000 0.5000
Tb5 0.6679 0.6689 0.9952
Y1 0.0832 0.5835 0.2501
Y2 0.9168 0.4165 0.7499



VASP calculation (PBE) on a geometry-optimized Y2PuHg structure.

Calculated values
Total moment ... 6.6 μB per cell
Energy above the lowest structure with this stoichiometry ... 0.0 meV/atom

Cell lengths 3.5412, 3.5412, 8.9099 Å; angles 90.00, 90.00, 90.00 degrees
Each line ends with the local moment (μB).
Fractional coordinates of all 4 atoms:
Pu1 0.5000 0.5000 0.5000  5.55
Y1 0.0000 0.0000 0.7732  0.14
Y2 0.0000 0.0000 0.2268  0.14
Hg1 0.5000 0.5000 0.0000  -0.01



VASP calculation (PBE) on a geometry-optimized Cu2AgP structure.

Calculated values
Total moment ... 0.0 μB per cell
Raw total energy ... -3.8651 eV/atom

Cell lengths 4.2358, 4.2358, 8.1924 Å; angles 75.02, 75.02, 90.00 degrees
Fractional coordinates of all 8 atoms:
P1 0.2500 0.7500 0.5000
P2 0.5000 0.5000 0.0000
Cu1 0.8750 0.7669 0.7500
Cu2 0.5169 0.1250 0.2500
Cu3 0.3750 0.4831 0.7500
Cu4 0.2331 0.6250 0.2500
Ag1 0.0000 0.0000 0.0000
Ag2 0.7500 0.2500 0.5000



VASP calculation (PBE) on a geometry-optimized KHg3Pd structure.

Calculated values
Total moment ... 0.0 μB per cell
Energy above the lowest structure with this stoichiometry ... 85.8 meV/atom

Cell lengths 7.3408, 7.3408, 7.3408 Å; angles 61.54, 61.54, 61.54 degrees
Fractional coordinates of all 10 atoms:
Hg1 0.4317 0.8591 0.4317
Hg2 0.4317 0.4317 0.8591
Hg3 0.5683 0.5683 0.1409
Hg4 0.8591 0.4317 0.4317
Hg5 0.1409 0.5683 0.5683
Hg6 0.5683 0.1409 0.5683
Pd1 0.6960 0.6960 0.6960
Pd2 0.3040 0.3040 0.3040
K1 0.1034 0.1034 0.1034
K2 0.8966 0.8966 0.8966



VASP calculation (PBE) on a geometry-optimized HoTm5Sc structure.

Calculated values
Total moment ... 0.7 μB per cell
Energy above the lowest structure with this stoichiometry ... 0.0 meV/atom

Cell lengths 3.5374, 9.0012, 13.3987 Å; angles 101.42, 90.00, 90.00 degrees
Each line ends with the local moment (μB).
Fractional coordinates of all 14 atoms:
Tm1 0.2500 0.8020 0.1110  -0.04
Tm2 0.7500 0.9933 0.6359  0.03
Tm3 0.2500 0.0067 0.3641  0.03
Tm4 0.2500 0.6761 0.4930  0.15
Tm5 0.7500 0.1980 0.8890  -0.04
Tm6 0.2500 0.3456 0.7240  0.02
Tm7 0.7500 0.6544 0.2760  0.02
Tm8 0.2500 0.4199 0.0826  -0.01
Tm9 0.7500 0.3239 0.5070  0.15
Tm10 0.7500 0.5801 0.9174  -0.01
Sc1 0.7500 0.6453 0.6916  0.12
Sc2 0.2500 0.3547 0.3084  0.12
Ho1 0.7500 0.1182 0.1406  0.00
Ho2 0.2500 0.8818 0.8594  0.00